Density functional theory data (PBE-GGA) for crystalline EuInNi5 at its relaxed geometry.

Lattice parameters (Å, degrees): 10.3294 10.3294 10.3294 27.60 27.60 27.60
Last column: nearest neighbours and their distance in Å.
Positions (direct):
Eu (0.0000, 0.0000, 0.0000)  18 Ni 2.84-3.18
Eu (0.5000, 0.5000, 0.5000)  12 Ni 3.01-3.28, 6 In 3.30
Ni (0.3337, 0.3337, 0.3337)  6 Ni 2.45-2.47
Ni (0.5667, 0.5667, 0.0691)  7 Ni 2.44-2.48
Ni (0.0691, 0.5667, 0.5667)  7 Ni 2.44-2.48
Ni (0.5667, 0.0691, 0.5667)  7 Ni 2.44-2.48
Ni (0.8005, 0.8005, 0.8005)  3 Ni 2.44, 1 In 2.66
Ni (0.1995, 0.1995, 0.1995)  3 Ni 2.44, 1 In 2.66
Ni (0.4333, 0.9309, 0.4333)  7 Ni 2.44-2.48
Ni (0.9309, 0.4333, 0.4333)  7 Ni 2.44-2.48
Ni (0.4333, 0.4333, 0.9309)  7 Ni 2.44-2.48
Ni (0.6663, 0.6663, 0.6663)  6 Ni 2.45-2.47
In (0.1103, 0.1103, 0.1103)  10 Ni 2.66-2.93
In (0.8897, 0.8897, 0.8897)  10 Ni 2.66-2.93

Summary:
* crystal system: trigonal
* V: 209 Å³ per cell
* uncorrected energy: -86.59 eV for the cell shown
* DOS at the Fermi energy: 32.7 states/eV/cell



Density functional theory data (PBE-GGA) for crystalline Ti2Bi2P at its relaxed geometry.

Lattice parameters (Å, degrees): 6.5832 6.5832 4.9635 90.00 90.00 90.00
Last column: nearest neighbours and their distance in Å.
Positions (direct):
P (0.0000, 0.0000, 0.0000)  4 Ti 2.49
P (0.5000, 0.5000, 0.0000)  4 Ti 2.49
Bi (0.1725, 0.6725, 0.5000)  6 Ti 2.96-3.29, 1 Bi 3.21
Bi (0.6725, 0.8275, 0.5000)  6 Ti 2.96-3.29, 1 Bi 3.21
Bi (0.8275, 0.3275, 0.5000)  6 Ti 2.96-3.29, 1 Bi 3.21
Bi (0.3275, 0.1725, 0.5000)  6 Ti 2.96-3.29, 1 Bi 3.21
Ti (0.3461, 0.8461, 0.0000)  2 P 2.49
Ti (0.8461, 0.6539, 0.0000)  2 P 2.49
Ti (0.6539, 0.1539, 0.0000)  2 P 2.49
Ti (0.1539, 0.3461, 0.0000)  2 P 2.49

Summary:
* crystal system: tetragonal
* V: 215 Å³ per cell
* uncorrected energy: -59.60 eV for the cell shown
* DOS at the Fermi energy: 9.3 states/eV/cell



Density functional theory data (PBE-GGA) for crystalline YAgSn2Bi at its relaxed geometry.

Lattice parameters (Å, degrees): 5.8087 5.8214 5.8087 90.00 90.00 90.00
Last column: nearest neighbours and their distance in Å.
Positions (direct):
Y (0.0000, 0.5000, 0.0000)  2 Bi 2.91
Bi (0.0000, 0.0000, 0.0000)  4 Sn 2.90, 2 Y 2.91
Ag (0.5000, 0.5000, 0.5000)  4 Y 4.11, 8 Sn 4.11
Sn (0.0000, 0.0000, 0.5000)  2 Bi 2.90
Sn (0.5000, 0.0000, 0.0000)  2 Bi 2.90

Summary:
* crystal system: tetragonal
* V: 196 Å³ per cell
* uncorrected energy: -17.85 eV for the cell shown
* DOS at the Fermi energy: 3.3 states/eV/cell



Density functional theory data (PBE-GGA) for crystalline BiIr at its relaxed geometry.

Lattice parameters (Å, degrees): 8.1538 8.1538 8.1538 90.00 90.00 90.00
Last column: nearest neighbours and their distance in Å.
Positions (direct):
Bi (0.3055, 0.3055, 0.3055)  4 Ir 2.59-2.71
Bi (0.3055, 0.6945, 0.6945)  4 Ir 2.59-2.71
Bi (0.6945, 0.3055, 0.6945)  4 Ir 2.59-2.71
Bi (0.6945, 0.6945, 0.3055)  4 Ir 2.59-2.71
Bi (0.8055, 0.8055, 0.8055)  4 Ir 2.59-2.71
Bi (0.8055, 0.1945, 0.1945)  4 Ir 2.59-2.71
Bi (0.1945, 0.8055, 0.1945)  4 Ir 2.59-2.71
Bi (0.1945, 0.1945, 0.8055)  4 Ir 2.59-2.71
Ir (0.1220, 0.1220, 0.1220)  4 Bi 2.59-2.71, 3 Ir 2.81
Ir (0.1220, 0.8780, 0.8780)  4 Bi 2.59-2.71, 3 Ir 2.81
Ir (0.8780, 0.1220, 0.8780)  4 Bi 2.59-2.71, 3 Ir 2.81
Ir (0.8780, 0.8780, 0.1220)  4 Bi 2.59-2.71, 3 Ir 2.81
Ir (0.6220, 0.6220, 0.6220)  4 Bi 2.59-2.71, 3 Ir 2.81
Ir (0.6220, 0.3780, 0.3780)  4 Bi 2.59-2.71, 3 Ir 2.81
Ir (0.3780, 0.6220, 0.3780)  4 Bi 2.59-2.71, 3 Ir 2.81
Ir (0.3780, 0.3780, 0.6220)  4 Bi 2.59-2.71, 3 Ir 2.81

Summary:
* crystal system: cubic
* V: 542 Å³ per cell
* uncorrected energy: -94.19 eV for the cell shown
* DOS at the Fermi energy: 9.8 states/eV/cell